This record from Alexandria via LeMat-Bulk describes a geometry-optimized La2Pr4Pb3Cl2 structure. The functional is PBE-GGA.

- Raw formation energy: -8.42 eV per formula unit
- Density: 7.0 g cm⁻³
- E: -4.7464 eV/atom
- SG: No. 139
- Spin magnetization: 0.00 μB per formula unit

abc: 5.4029 5.4029 13.0886
angles: 101.91 101.91 90.00
Fractional positions:
Pr 0.5866 0.0866 0.1732
Pb 0.1720 0.1720 0.3439
La 0.6966 0.6966 0.3933
Cl 0.5702 0.5702 0.1403
Pr 0.4134 0.9134 0.8268
Pr 0.0866 0.5866 0.1732
La 0.3034 0.3034 0.6067
Pr 0.9134 0.4134 0.8268
Pb 0.0000 0.0000 0.0000
Cl 0.4298 0.4298 0.8597
Pb 0.8280 0.8280 0.6561